# 1
Below is an optimized crystal structure of MnTlCl2, with properties calculated at the GGA-PBEsol level.

Output
E_form (uncorrected)	-0.14	eV/atom
energy	-4.246	eV/atom
ΔE to the lowest computed polymorph	0.0124	eV per atom

Unit cell a=5.0102 b=5.0102 c=5.0102 alpha=60.00 beta=60.00 gamma=60.00
Each line ends with the local moment (μB).
Positions (direct):
1 Cl 0.7500 0.7500 0.7500  0.04
2 Cl 0.2500 0.2500 0.2500  0.04
3 Tl 0.5000 0.5000 0.5000  0.02
4 Mn 0.0000 0.0000 0.0000  4.30

# 2
Below is an optimized crystal structure of MnTlCl2, with properties calculated at the GGA-PBEsol level.

Output
E_form (uncorrected)	-0.11	eV/atom
energy	-4.208	eV/atom
ΔE to the lowest computed polymorph	0.0512	eV per atom

Unit cell a=4.0759 b=4.0759 c=6.2560 alpha=109.01 beta=109.01 gamma=90.00
Each line ends with the local moment (μB).
Positions (direct):
1 Cl 0.7500 0.2500 0.5000  0.04
2 Cl 0.0000 0.0000 0.0000  0.01
3 Tl 0.2500 0.7500 0.5000  -0.01
4 Mn 0.5000 0.5000 0.0000  4.31

# 3
Below is an optimized crystal structure of MnTlCl3, with properties calculated at the GGA-PBEsol level.

Output
E_form (uncorrected)	-0.96	eV/atom
energy	-4.640	eV/atom
ΔE to the lowest computed polymorph	0.0000	eV per atom

Unit cell a=6.9793 b=6.9141 c=9.9237 alpha=90.00 beta=90.00 gamma=90.00
Each line ends with the local moment (μB).
Positions (direct):
1 Tl 0.0408 0.9912 0.2500  0.00
2 Tl 0.4592 0.4912 0.7500  0.00
3 Tl 0.9592 0.0088 0.7500  0.00
4 Tl 0.5408 0.5088 0.2500  0.00
5 Cl 0.7133 0.2870 0.5244  0.07
6 Cl 0.9988 0.4509 0.2500  0.06
7 Cl 0.2133 0.2130 0.9756  0.07
8 Cl 0.2867 0.7130 0.0244  0.07
9 Cl 0.2867 0.7130 0.4756  0.07
10 Cl 0.5012 0.9509 0.7500  0.06
11 Cl 0.2133 0.2130 0.5244  0.07
12 Cl 0.0012 0.5491 0.7500  0.06
13 Cl 0.7867 0.7870 0.0244  0.07
14 Cl 0.7133 0.2870 0.9756  0.07
15 Cl 0.7867 0.7870 0.4756  0.07
16 Cl 0.4988 0.0491 0.2500  0.06
17 Mn 0.5000 0.0000 0.5000  4.44
18 Mn 0.0000 0.5000 0.0000  4.44
19 Mn 0.0000 0.5000 0.5000  4.44
20 Mn 0.5000 0.0000 0.0000  4.44

# 4
Below is an optimized crystal structure of MnTlCl2, with properties calculated at the GGA-PBEsol level.

Output
E_form (uncorrected)	-0.16	eV/atom
energy	-4.259	eV/atom
ΔE to the lowest computed polymorph	0.0000	eV per atom

Unit cell a=3.2903 b=5.2552 c=5.2552 alpha=90.11 beta=90.36 gamma=90.36
Each line ends with the local moment (μB).
Positions (direct):
1 Cl 0.0000 0.0000 0.5000  0.04
2 Cl 0.0000 0.5000 0.0000  0.04
3 Tl 0.5000 0.0000 0.0000  0.01
4 Mn 0.5000 0.5000 0.5000  4.31

# 5
Below is an optimized crystal structure of Mn2TlCl, with properties calculated at the GGA-PBEsol level.

Output
E_form (uncorrected)	0.24	eV/atom
energy	-5.799	eV/atom

Unit cell a=3.0609 b=3.0609 c=9.4666 alpha=80.70 beta=80.70 gamma=60.00
Each line ends with the local moment (μB).
Positions (direct):
1 Mn 0.9996 0.9996 0.0012  3.12
2 Mn 0.7354 0.7354 0.7938  3.35
3 Cl 0.2770 0.2770 0.1690  0.04
4 Tl 0.4880 0.4880 0.5360  -0.04

# 6
Below is an optimized crystal structure of MnTl3Cl, with properties calculated at the GGA-PBEsol level.

Output
E_form (uncorrected)	0.58	eV/atom
energy	-3.350	eV/atom

Unit cell a=5.6019 b=5.6019 c=5.6019 alpha=90.00 beta=90.00 gamma=90.00
Each line ends with the local moment (μB).
Positions (direct):
1 Tl 0.0000 0.0000 0.5000  -0.02
2 Tl 0.5000 0.0000 0.0000  -0.02
3 Tl 0.0000 0.5000 0.0000  -0.02
4 Cl 0.0000 0.0000 0.0000  0.00
5 Mn 0.5000 0.5000 0.5000  4.42

# 7
Below is an optimized crystal structure of Mn3TlCl, with properties calculated at the GGA-PBEsol level.

Output
E_form (uncorrected)	1.22	eV/atom
energy	-5.561	eV/atom

Unit cell a=5.1797 b=5.1797 c=5.1797 alpha=90.00 beta=90.00 gamma=90.00
Each line ends with the local moment (μB).
Positions (direct):
1 Mn 0.0000 0.5000 0.0000  4.37
2 Mn 0.0000 0.0000 0.5000  4.37
3 Mn 0.5000 0.0000 0.0000  4.37
4 Tl 0.0000 0.0000 0.0000  -0.02
5 Cl 0.5000 0.5000 0.5000  0.17

# 8
Below is an optimized crystal structure of MnWCl2, with properties calculated at the GGA-PBEsol level.

Output
E_form (uncorrected)	0.15	eV/atom
energy	-6.751	eV/atom

Unit cell a=2.9555 b=4.3158 c=7.1006 alpha=107.69 beta=102.01 gamma=90.00
Each line ends with the local moment (μB).
Positions (direct):
1 W 0.0000 0.5000 0.0000  -0.71
2 Mn 0.5000 0.0000 0.0000  3.36
3 Cl 0.6487 0.6487 0.2973  0.02
4 Cl 0.3513 0.3513 0.7027  0.02

# 9
Below is an optimized crystal structure of Y4MnCl, with properties calculated at the GGA-PBEsol level.

Output
E_form (uncorrected)	0.65	eV/atom
energy	-5.859	eV/atom

Unit cell a=6.2806 b=6.2806 c=6.2806 alpha=60.00 beta=60.00 gamma=60.00
Each line ends with the local moment (μB).
Positions (direct):
1 Y 0.3730 0.3730 0.3730  -0.05
2 Y 0.3730 0.3730 0.8812  -0.05
3 Y 0.8812 0.3730 0.3730  -0.05
4 Y 0.3730 0.8812 0.3730  -0.05
5 Cl 0.7500 0.7500 0.7500  0.01
6 Mn 0.0000 0.0000 0.0000  4.20

# 10
Below is an optimized crystal structure of YMn2Cl, with properties calculated at the GGA-PBEsol level.

Output
E_form (uncorrected)	0.13	eV/atom
energy	-6.963	eV/atom
ΔE to the lowest computed polymorph	0.2319	eV per atom

Unit cell a=3.1791 b=5.0954 c=5.5059 alpha=117.24 beta=90.00 gamma=108.18
Each line ends with the local moment (μB).
Positions (direct):
1 Mn 0.9445 0.8891 0.0644  3.55
2 Mn 0.7148 0.4295 0.1994  3.66
3 Cl 0.2918 0.5836 0.6448  0.05
4 Y 0.5489 0.0979 0.5915  -0.38

# 11
Below is an optimized crystal structure of YMn2Cl, with properties calculated at the GGA-PBEsol level.

Output
E_form (uncorrected)	0.72	eV/atom
energy	-6.364	eV/atom
ΔE to the lowest computed polymorph	0.8311	eV per atom

Unit cell a=4.7423 b=4.7423 c=4.7423 alpha=60.00 beta=60.00 gamma=60.00
Each line ends with the local moment (μB).
Positions (direct):
1 Cl 0.0000 0.0000 0.0000  0.09
2 Mn 0.2500 0.2500 0.2500  3.54
3 Mn 0.7500 0.7500 0.7500  3.54
4 Y 0.5000 0.5000 0.5000  -0.22

# 12
Below is an optimized crystal structure of YMn2Cl, with properties calculated at the GGA-PBEsol level.

Output
E_form (uncorrected)	-0.11	eV/atom
energy	-7.195	eV/atom
ΔE to the lowest computed polymorph	0.0000	eV per atom

Unit cell a=3.6017 b=3.6017 c=7.2769 alpha=75.67 beta=75.67 gamma=60.00
Positions (direct):
1 Cl 0.2395 0.2395 0.2815
2 Y 0.4863 0.4863 0.5412
3 Mn 0.7313 0.7313 0.8060
4 Mn 0.0429 0.0429 0.8714

# 13
Below is an optimized crystal structure of YMn2Cl, with properties calculated at the GGA-PBEsol level.

Output
E_form (uncorrected)	0.20	eV/atom
energy	-6.886	eV/atom
ΔE to the lowest computed polymorph	0.3084	eV per atom

Unit cell a=3.7732 b=3.7732 c=5.8615 alpha=108.78 beta=108.78 gamma=90.00
Each line ends with the local moment (μB).
Positions (direct):
1 Y 0.5000 0.5000 0.0000  -0.30
2 Mn 0.2500 0.7500 0.5000  3.48
3 Mn 0.7500 0.2500 0.5000  3.48
4 Cl 0.0000 0.0000 0.0000  0.08

# 14
Below is an optimized crystal structure of YMn2ZnCl, with properties calculated at the GGA-PBEsol level.

Output
E_form (uncorrected)	1.01	eV/atom
energy	-4.978	eV/atom

Unit cell a=5.0325 b=5.3711 c=5.3711 alpha=90.00 beta=90.00 gamma=90.00
Each line ends with the local moment (μB).
Positions (direct):
1 Cl 0.5000 0.0000 0.0000  0.05
2 Y 0.0000 0.0000 0.0000  -0.38
3 Zn 0.5000 0.5000 0.5000  0.02
4 Mn 0.0000 0.0000 0.5000  3.92
5 Mn 0.0000 0.5000 0.0000  3.92

# 15
Below is an optimized crystal structure of MnZn2Cl, with properties calculated at the GGA-PBEsol level.

Output
E_form (uncorrected)	0.30	eV/atom
energy	-3.438	eV/atom
ΔE to the lowest computed polymorph	0.1466	eV per atom

Unit cell a=3.8365 b=3.8365 c=5.1403 alpha=111.91 beta=111.91 gamma=90.00
Each line ends with the local moment (μB).
Positions (direct):
1 Zn 0.7500 0.2500 0.5000  -0.06
2 Zn 0.0000 0.0000 0.0000  -0.02
3 Mn 0.2500 0.7500 0.5000  3.74
4 Cl 0.5000 0.5000 0.0000  0.09